Entry 1:
# Er2TaZn | Alexandria via LeMat-Bulk | GGA-PBE | relaxed
# Density of states at the Fermi level: 18.58 states/eV/cell
# Volume: 23.3 A^3/atom
# Total moment: 0.01 μB/f.u.
# DFT total energy: -60.6 eV/cell
# Formation energy: 11.75 kcal/mol of atoms
data_Er2TaZn
_symmetry_space_group_name_H-M 'R -3 m'
_symmetry_Int_Tables_number 166
_symmetry_space_group_name_Hall '-R 3 2"'
_cell_length_a 3.1397
_cell_length_b 3.1397
_cell_length_c 32.8149
_cell_angle_alpha 90.00
_cell_angle_beta 90.00
_cell_angle_gamma 120.00
loop_
_atom_site_label
_atom_site_fract_x
_atom_site_fract_y
_atom_site_fract_z
Er1 0.0000 0.0000 0.0922
Ta1 0.0000 0.0000 0.0000
Zn1 0.0000 0.0000 0.5000

Entry 2:
# ErTaZn | Alexandria via LeMat-Bulk | GGA-PBE | relaxed
# Density of states at the Fermi level: 8.91 states/eV/cell
# Volume: 21.5 A^3/atom
# Total moment: 0.00 μB/f.u.
# DFT total energy: -35.5 eV/cell
# Formation energy: -0.54 kcal/mol of atoms
data_ErTaZn
_symmetry_space_group_name_H-M 'P 4/n m m'
_symmetry_Int_Tables_number 129
_cell_length_a 4.060
_cell_length_b 4.060
_cell_length_c 7.812
_cell_angle_alpha 90.00
_cell_angle_beta 90.00
_cell_angle_gamma 90.00
loop_
_symmetry_equiv_pos_as_xyz
'x,y,z'
'-x,-y,-z'
'-y+1/2,x,z'
'y+1/2,-x,-z'
'-x+1/2,-y+1/2,z'
'x+1/2,y+1/2,-z'
'y,-x+1/2,z'
'-y,x+1/2,-z'
'x+1/2,-y,-z'
'-x+1/2,y,z'
'-y,-x,-z'
'y,x,z'
'-x,y+1/2,-z'
'x,-y+1/2,z'
'y+1/2,x+1/2,-z'
'-y+1/2,-x+1/2,z'
loop_
_atom_site_label
_atom_site_fract_x
_atom_site_fract_y
_atom_site_fract_z
Er1 0.250 0.250 0.162
Ta1 0.250 0.750 0.500
Zn1 0.250 0.250 0.750